Mg3HgC (PBE, optimized geometry); SG = Pm-3m, No. 221; excess energy over the best structure of this formula in the dataset = 1312 meV/atom; calculated total energy = -1.489 eV per atom; formation energy = 1.3724 eV/atom; total magnetic moment = 2.067 Bohr magnetons per cell
1.0
5.222 0.000 0.000
0.000 5.222 0.000
0.000 0.000 5.222
Mg Hg C
3 1 1
Cartesian
0.000 0.000 2.611
0.000 2.611 0.000
2.611 0.000 0.000
0.000 0.000 0.000
2.611 2.611 2.611